Entry 1:
# KSm2NpO6

A relaxed structure of KSm2NpO6 (PBE, Alexandria).

Unit cell a=6.0572 b=6.0571 c=6.3611 alpha=61.57 beta=61.57 gamma=60.00
Last column: nearest neighbours and their distance in Å.
Element x y z (fractional)
Sm: 0.5285 0.5285 0.4143  6 O 2.32-2.47
Sm: 0.0130 0.0130 0.9611  6 O 2.29-2.44
O: 0.2532 0.9382 0.2202  1 Np 2.20, 2 Sm 2.32-2.44
O: 0.9382 0.5884 0.2202  1 Np 2.20, 2 Sm 2.32-2.44
O: 0.3513 0.6979 0.7687  1 Np 2.14, 1 Sm 2.29
O: 0.1822 0.3513 0.7687  1 Np 2.14, 1 Sm 2.29
O: 0.5884 0.2532 0.2202  1 Np 2.20, 2 Sm 2.32-2.44
O: 0.6979 0.1822 0.7687  1 Np 2.14, 1 Sm 2.29
K: 0.7878 0.7878 0.6365  3 O 2.62
Np: 0.3211 0.3211 0.0367  6 O 2.14-2.20

Values from the calculation:
As for the symmetry: R3, No. 146. The value obtained for the total energy is -83.02 eV for the cell shown. As for the spin magnetization: 2.0 μB/f.u.

Entry 2:
# KSm2NpO8

A relaxed structure of KSm2NpO8 (PBE, Alexandria).

Unit cell a=6.0578 b=4.1128 c=7.4221 alpha=106.95 beta=91.52 gamma=85.88
Last column: nearest neighbours and their distance in Å.
Element x y z (fractional)
O: 0.7945 0.8987 0.1685  1 Np 1.94
O: 0.3368 0.7931 0.0775  1 Np 2.28, 3 Sm 2.35-2.45
O: 0.6632 0.2069 0.9225  1 Np 2.28, 3 Sm 2.35-2.45
O: 0.4846 0.1814 0.5019  1 O 1.48
O: 0.0853 0.3696 0.2188  1 Np 1.96
O: 0.9147 0.6304 0.7812  1 Np 1.96
O: 0.5154 0.8186 0.4981  1 O 1.48
O: 0.2055 0.1013 0.8315  1 Np 1.94
Sm: 0.4777 0.3573 0.2127  7 O 2.35-2.55
Sm: 0.5223 0.6427 0.7873  7 O 2.35-2.55
Np: 0.0000 0.0000 0.0000  4 O 1.94-1.96
K: 0.0000 0.0000 0.5000  4 O 2.66-2.84

Values from the calculation:
As for the symmetry: P-1, No. 2. The value obtained for the total energy is -94.08 eV for the cell shown. As for the spin magnetization: 0.1 μB/f.u.

Entry 3:
# K2SmNpO6

A relaxed structure of K2SmNpO6 (PBE, Alexandria).

Unit cell a=6.1620 b=6.1612 c=6.1613 alpha=60.00 beta=60.01 gamma=90.00
Last column: nearest neighbours and their distance in Å.
Element x y z (fractional)
O: 0.7331 0.7332 0.5336  1 Np 2.03
O: 0.7331 0.7332 0.0001  1 Np 2.03
O: 0.2669 0.7333 0.9999  1 Np 2.03
O: 0.7331 0.2667 0.0001  1 Np 2.03
O: 0.2669 0.2668 0.9999  1 Np 2.03
O: 0.2669 0.2668 0.4664  1 Np 2.03
Np: 0.5000 0.5000 0.0000  6 O 2.03
K: 0.2503 0.7501 0.4998  12 O 3.08-3.09
K: 0.7497 0.2499 0.5002  12 O 3.08-3.09
Sm: 0.0000 0.0000 0.0000  6 O 2.32-2.33

Values from the calculation:
As for the symmetry: Fm-3m, No. 225. The value obtained for the total energy is -76.09 eV for the cell shown. As for the spin magnetization: 0.0 μB/f.u.

no.,E_form (uncorrected) (eV/atom)
1,-2.98
2,-2.58
3,-2.65